(1)
A plane-wave DFT calculation with PBE-GGA was carried out for a relaxed structure of AcScMo.

As for the formation energy: 0.65 eV per atom.

Cell lengths 6.830, 6.830, 6.830 Å; angles 90.00, 90.00, 90.00 degrees
Space group F-43m (No. 216)
Inequivalent atoms, fractional coordinates:
1 Ac 0.000 0.000 0.000 [4 per cell]
2 Sc 0.000 0.000 0.500 [4 per cell]
3 Mo 0.250 0.250 0.250 [4 per cell]



(2)
A plane-wave DFT calculation with PBE-GGA was carried out for a relaxed structure of LiSiNi2.

The total energy comes out at -4.943 eV/atom.

Cell lengths 3.9327, 3.9327, 6.9087 Å; angles 90.00, 90.00, 120.00 degrees
Space group P6_3/mmc (No. 194)
Inequivalent atoms, fractional coordinates:
1 Li 0.0000 0.0000 0.0000 [2 per cell]
2 Si 0.3333 0.6667 0.2500 [2 per cell]
3 Ni 0.3333 0.6667 0.5851 [4 per cell]



(3)
A plane-wave DFT calculation with PBE-GGA was carried out for a relaxed structure of PrGe3Pt4.

The total energy comes out at -5.946 eV/atom.

Cell lengths 5.530, 4.032, 7.164 Å; angles 90.00, 98.46, 90.00 degrees
Space group Pm (No. 6)
Inequivalent atoms, fractional coordinates:
1 Pr 0.000 0.000 0.000 [1 per cell]
2 Ge 0.332 0.000 0.559 [1 per cell]
3 Ge 0.460 0.500 0.980 [1 per cell]
4 Ge 0.820 0.500 0.366 [1 per cell]
5 Pt 0.132 0.500 0.703 [1 per cell]
6 Pt 0.261 0.500 0.318 [1 per cell]
7 Pt 0.556 0.000 0.188 [1 per cell]
8 Pt 0.786 0.000 0.577 [1 per cell]



Computed values of mass density (unit: g cm⁻³) for the preceding records, in sequence: 7.7, 5.5, 12.0.